Entry 1:
Below is crystalline ScTi4Ni5 at its relaxed geometry, with properties calculated at the PBE level.

Lattice parameters (Å, degrees): 3.066 3.066 15.035 90.00 90.00 90.00
Sites, in units of the cell vectors:
Sc 0.000 0.000 0.000
Ti 0.000 0.000 0.209
Ti 0.000 0.000 0.404
Ti 0.000 0.000 0.596
Ti 0.000 0.000 0.791
Ni 0.500 0.500 0.121
Ni 0.500 0.500 0.307
Ni 0.500 0.500 0.500
Ni 0.500 0.500 0.693
Ni 0.500 0.500 0.879

Summary:
The value obtained for the energy relative to the elements is -385.4 meV per atom. As for the space group: No. 123.

---

Entry 2:
Below is crystalline Sc2Ti2Ni at its relaxed geometry, with properties calculated at the PBE level.

Lattice parameters (Å, degrees): 6.307 6.307 4.732 90.00 90.00 90.00
Sites, in units of the cell vectors:
Sc 0.167 0.333 0.000
Sc 0.333 0.833 0.000
Sc 0.667 0.167 0.000
Sc 0.833 0.667 0.000
Ti 0.146 0.646 0.500
Ti 0.354 0.146 0.500
Ti 0.646 0.854 0.500
Ti 0.854 0.354 0.500
Ni 0.000 0.000 0.500
Ni 0.500 0.500 0.500

Summary:
The value obtained for the energy relative to the elements is 3.5 meV per atom. As for the space group: No. 127.

---

Entry 3:
Below is crystalline ScTi2Ni2 at its relaxed geometry, with properties calculated at the PBE level.

Lattice parameters (Å, degrees): 3.672 3.672 12.217 90.00 90.00 90.00
Sites, in units of the cell vectors:
Sc 0.000 0.000 0.000
Sc 0.500 0.500 0.500
Ti 0.000 0.000 0.383
Ti 0.000 0.000 0.617
Ti 0.500 0.500 0.117
Ti 0.500 0.500 0.883
Ni 0.000 0.500 0.250
Ni 0.000 0.500 0.750
Ni 0.500 0.000 0.250
Ni 0.500 0.000 0.750

Summary:
The value obtained for the energy relative to the elements is 14.8 meV per atom. As for the space group: No. 139. The relative energy among the computed polymorphs is 310 meV per atom.

---

Entry 4:
Below is crystalline ScTi2Ni2 at its relaxed geometry, with properties calculated at the PBE level.

Lattice parameters (Å, degrees): 4.169 4.169 9.512 90.00 90.00 90.00
Sites, in units of the cell vectors:
Sc 0.000 0.000 0.000
Sc 0.500 0.500 0.500
Ti 0.000 0.500 0.250
Ti 0.000 0.500 0.750
Ti 0.500 0.000 0.250
Ti 0.500 0.000 0.750
Ni 0.000 0.000 0.381
Ni 0.000 0.000 0.619
Ni 0.500 0.500 0.119
Ni 0.500 0.500 0.881

Summary:
The value obtained for the energy relative to the elements is -260.2 meV per atom. As for the space group: No. 139. The relative energy among the computed polymorphs is 35 meV per atom.

---

Entry 5:
Below is crystalline ScTiNi at its relaxed geometry, with properties calculated at the PBE level.

Lattice parameters (Å, degrees): 6.921 6.921 7.691 94.36 94.36 35.09
Sites, in units of the cell vectors:
Sc 0.056 0.056 0.344
Sc 0.420 0.420 0.156
Sc 0.580 0.580 0.844
Sc 0.944 0.944 0.656
Ti 0.200 0.200 0.060
Ti 0.216 0.216 0.652
Ti 0.784 0.784 0.348
Ti 0.800 0.800 0.940
Ni 0.372 0.372 0.825
Ni 0.381 0.381 0.479
Ni 0.619 0.619 0.521
Ni 0.628 0.628 0.175

Summary:
The value obtained for the energy relative to the elements is -123.7 meV per atom. As for the space group: No. 12. The relative energy among the computed polymorphs is 203 meV per atom.

---

Entry 6:
Below is crystalline ScTiNi5 at its relaxed geometry, with properties calculated at the PBE level.

Lattice parameters (Å, degrees): 3.531 3.531 7.724 90.00 90.00 90.00
Sites, in units of the cell vectors:
Sc 0.000 0.000 0.000
Ti 0.500 0.500 0.500
Ni 0.000 0.000 0.500
Ni 0.000 0.500 0.262
Ni 0.000 0.500 0.738
Ni 0.500 0.000 0.262
Ni 0.500 0.000 0.738

Summary:
The value obtained for the energy relative to the elements is -247.5 meV per atom. As for the space group: No. 123.

---

Entry 7:
Below is crystalline Sc2TiNi6 at its relaxed geometry, with properties calculated at the PBE level.

Lattice parameters (Å, degrees): 5.153 5.153 5.434 90.00 90.00 120.00
Sites, in units of the cell vectors:
Sc 0.333 0.667 0.335
Sc 0.667 0.333 0.665
Ti 0.000 0.000 0.500
Ni 0.176 0.353 0.826
Ni 0.176 0.824 0.826
Ni 0.353 0.176 0.174
Ni 0.647 0.824 0.826
Ni 0.824 0.176 0.174
Ni 0.824 0.647 0.174

Summary:
The value obtained for the energy relative to the elements is -388.0 meV per atom. As for the space group: No. 164.

---

Entry 8:
Below is crystalline Sc3TiNi at its relaxed geometry, with properties calculated at the PBE level.

Lattice parameters (Å, degrees): 4.840 4.840 4.840 90.00 90.00 90.00
Sites, in units of the cell vectors:
Sc 0.000 0.000 0.500
Sc 0.000 0.500 0.000
Sc 0.500 0.000 0.000
Ti 0.500 0.500 0.500
Ni 0.000 0.000 0.000

Summary:
The value obtained for the energy relative to the elements is 214.0 meV per atom. As for the space group: No. 221. The relative energy among the computed polymorphs is 0 meV per atom.